[1]
A geometry-optimized AsAuSN2 structure. Source: Alexandria, functional PBE.

abc: 3.8770 3.8770 7.2904
angles: 90.00 90.00 90.00
Closest atoms and distances in Å follow each position.
Atoms (fractional coordinates):
As1 0.0000 0.0000 0.0000  4 S 2.74
Au1 0.5000 0.5000 0.5000  4 N 1.94
S1 0.5000 0.5000 0.0000  4 As 2.74
N1 0.0000 0.5000 0.5000  2 Au 1.94
N2 0.5000 0.0000 0.5000  2 Au 1.94

Computed properties:
DOS at the Fermi energy   2.3 states/eV/cell
Raw total energy   -3.9621 eV/atom
Calculated volume   109.58 Å³/cell
Distance to the lowest polymorph of the same formula   0.501 eV per atom

=====

[2]
A geometry-optimized LiDy2Lu structure. Source: Alexandria, functional PBE.

abc: 7.6651 7.6651 7.6651
angles: 90.00 90.00 90.00
Closest atoms and distances in Å follow each position.
Atoms (fractional coordinates):
Li1 0.0000 0.0000 0.0000  8 Dy 3.32
Li2 0.0000 0.5000 0.5000  8 Dy 3.32
Li3 0.5000 0.0000 0.5000  8 Dy 3.32
Li4 0.5000 0.5000 0.0000  8 Dy 3.32
Dy1 0.2500 0.2500 0.2500  4 Li 3.32, 4 Lu 3.32
Dy2 0.2500 0.2500 0.7500  4 Li 3.32, 4 Lu 3.32
Dy3 0.2500 0.7500 0.2500  4 Li 3.32, 4 Lu 3.32
Dy4 0.2500 0.7500 0.7500  4 Li 3.32, 4 Lu 3.32
Dy5 0.7500 0.2500 0.2500  4 Li 3.32, 4 Lu 3.32
Dy6 0.7500 0.2500 0.7500  4 Li 3.32, 4 Lu 3.32
Dy7 0.7500 0.7500 0.2500  4 Li 3.32, 4 Lu 3.32
Dy8 0.7500 0.7500 0.7500  4 Li 3.32, 4 Lu 3.32
Lu1 0.0000 0.0000 0.5000  8 Dy 3.32
Lu2 0.0000 0.5000 0.0000  8 Dy 3.32
Lu3 0.5000 0.0000 0.0000  8 Dy 3.32
Lu4 0.5000 0.5000 0.5000  8 Dy 3.32

Computed properties:
Energy of formation from the pure elements   0.16 eV per atom
DOS at the Fermi energy   13.7 states/eV/cell
Raw total energy   -3.7489 eV/atom
Calculated volume   450.36 Å³/cell
Distance to the lowest polymorph of the same formula   0.086 eV per atom

=====

[3]
A geometry-optimized LiAs4W structure. Source: Alexandria, functional PBE.

abc: 5.4009 5.4009 5.4009
angles: 60.00 60.00 60.00
Closest atoms and distances in Å follow each position.
Atoms (fractional coordinates):
Li1 0.0000 0.0000 0.0000  12 As 3.17, 4 W 3.31
As1 0.3761 0.3761 0.3761  6 As 2.68-2.72
As2 0.3761 0.3761 0.8717  6 As 2.68-2.72
As3 0.3761 0.8717 0.3761  6 As 2.68-2.72
As4 0.8717 0.3761 0.3761  6 As 2.68-2.72
W1 0.7500 0.7500 0.7500  12 As 3.16, 4 Li 3.31

Computed properties:
Energy of formation from the pure elements   0.75 eV per atom
DOS at the Fermi energy   4.0 states/eV/cell
Raw total energy   -4.8256 eV/atom
Calculated volume   111.40 Å³/cell

=====

[4]
A geometry-optimized CsMgGaCl4 structure. Source: Alexandria, functional PBE.

abc: 8.1878 7.3486 9.1776
angles: 90.00 110.57 90.00
Closest atoms and distances in Å follow each position.
Atoms (fractional coordinates):
Cs1 0.2332 0.2500 0.4756  8 Cl 3.47-3.85
Cs2 0.7668 0.7500 0.5244  8 Cl 3.47-3.85
Mg1 0.2275 0.7500 0.1824  4 Cl 2.33-2.37
Mg2 0.7725 0.2500 0.8176  4 Cl 2.33-2.37
Ga1 0.2771 0.2500 0.9937  3 Cl 2.75-2.76
Ga2 0.7229 0.7500 0.0063  3 Cl 2.75-2.76
Cl1 0.0194 0.7500 0.9284  1 Mg 2.35
Cl2 0.1003 0.7500 0.3735  1 Mg 2.33
Cl3 0.4210 0.0009 0.2265  1 Mg 2.37
Cl4 0.4210 0.4991 0.2265  1 Mg 2.37
Cl5 0.5790 0.5009 0.7735  1 Mg 2.37
Cl6 0.5790 0.9991 0.7735  1 Mg 2.37
Cl7 0.8997 0.2500 0.6265  1 Mg 2.33
Cl8 0.9806 0.2500 0.0716  1 Mg 2.35

Computed properties:
DOS at the Fermi energy   0.0 states/eV/cell
Raw total energy   -3.4083 eV/atom
Calculated volume   517.01 Å³/cell

=====

[5]
A geometry-optimized LiCeBeH6 structure. Source: Alexandria, functional PBE.

abc: 4.2905 4.2905 4.2913
angles: 90.00 90.00 120.00
Closest atoms and distances in Å follow each position.
Atoms (fractional coordinates):
Li1 0.0000 0.0000 0.0000  6 H 1.74
Ce1 0.3333 0.6667 0.5000  12 H 2.37
Be1 0.6667 0.3333 0.0000  6 H 1.62
H1 0.3557 0.1779 0.2638  1 Be 1.62, 1 Li 1.74
H2 0.3557 0.1779 0.7362  1 Be 1.62, 1 Li 1.74
H3 0.8221 0.1779 0.2638  1 Be 1.62, 1 Li 1.74
H4 0.8221 0.1779 0.7362  1 Be 1.62, 1 Li 1.74
H5 0.8221 0.6443 0.2638  1 Be 1.62, 1 Li 1.74
H6 0.8221 0.6443 0.7362  1 Be 1.62, 1 Li 1.74

Computed properties:
DOS at the Fermi energy   2.6 states/eV/cell
Raw total energy   -3.7359 eV/atom
Calculated volume   68.41 Å³/cell

=====

[6]
A geometry-optimized Tl2TcBiP structure. Source: Alexandria, functional PBE.

abc: 5.5140 5.5140 4.4492
angles: 90.00 90.00 90.00
Closest atoms and distances in Å follow each position.
Atoms (fractional coordinates):
Tl1 0.0000 0.5000 0.0000  2 Tc 2.76
Tl2 0.5000 0.0000 0.0000  2 Tc 2.76
Tc1 0.0000 0.0000 0.0000  2 P 2.22
Bi1 0.5000 0.5000 0.5000  8 Tl 3.54, 4 P 3.90
P1 0.0000 0.0000 0.5000  2 Tc 2.22

Computed properties:
Energy of formation from the pure elements   0.43 eV per atom
DOS at the Fermi energy   5.5 states/eV/cell
Raw total energy   -4.4520 eV/atom
Calculated volume   135.27 Å³/cell

=====

[7]
A geometry-optimized Pm2NiGe structure. Source: Alexandria, functional PBE.

abc: 3.5161 3.5161 7.3497
angles: 90.00 90.00 90.00
Closest atoms and distances in Å follow each position.
Atoms (fractional coordinates):
Pm1 0.0000 0.0000 0.2361  4 Ni 3.03, 4 Ge 3.15
Pm2 0.0000 0.0000 0.7639  4 Ni 3.03, 4 Ge 3.15
Ni1 0.5000 0.5000 0.0000  8 Pm 3.03
Ge1 0.5000 0.5000 0.5000  8 Pm 3.15, 4 Ge 3.52

Computed properties:
Energy of formation from the pure elements   -0.45 eV per atom
DOS at the Fermi energy   2.4 states/eV/cell
Raw total energy   -5.4213 eV/atom
Calculated volume   90.86 Å³/cell

=====

[8]
A geometry-optimized HfTc3 structure. Source: Alexandria, functional PBE.

abc: 4.4744 4.4744 12.7233
angles: 90.00 90.00 90.00
Closest atoms and distances in Å follow each position.
Atoms (fractional coordinates):
Hf1 0.0000 0.0000 0.1251  8 Tc 2.74-2.75
Hf2 0.0000 0.0000 0.8749  8 Tc 2.74-2.75
Hf3 0.5000 0.5000 0.3749  8 Tc 2.74-2.75
Hf4 0.5000 0.5000 0.6251  8 Tc 2.74-2.75
Tc1 0.0000 0.0000 0.3738  8 Tc 2.74-2.75
Tc2 0.0000 0.0000 0.6262  8 Tc 2.74-2.75
Tc3 0.0000 0.5000 0.0000  4 Hf 2.75, 4 Tc 2.75
Tc4 0.0000 0.5000 0.2500  4 Tc 2.74, 4 Hf 2.74
Tc5 0.0000 0.5000 0.5000  4 Hf 2.75, 4 Tc 2.75
Tc6 0.0000 0.5000 0.7500  4 Tc 2.74, 4 Hf 2.74
Tc7 0.5000 0.0000 0.0000  4 Hf 2.75, 4 Tc 2.75
Tc8 0.5000 0.0000 0.2500  4 Tc 2.74, 4 Hf 2.74
Tc9 0.5000 0.0000 0.5000  4 Hf 2.75, 4 Tc 2.75
Tc10 0.5000 0.0000 0.7500  4 Tc 2.74, 4 Hf 2.74
Tc11 0.5000 0.5000 0.1262  8 Tc 2.74-2.75
Tc12 0.5000 0.5000 0.8738  8 Tc 2.74-2.75

Computed properties:
Energy of formation from the pure elements   -0.13 eV per atom
DOS at the Fermi energy   16.4 states/eV/cell
Raw total energy   -10.3941 eV/atom
Calculated volume   254.72 Å³/cell

=====

[9]
A geometry-optimized K2CdBi structure. Source: Alexandria, functional PBE.

abc: 5.0676 5.0676 24.1763
angles: 90.00 90.00 90.00
Closest atoms and distances in Å follow each position.
Atoms (fractional coordinates):
K1 0.2482 0.2500 0.1250  2 Cd 3.51, 2 Bi 3.52, 4 K 3.57-3.60
K2 0.2500 0.7482 0.3750  2 Cd 3.51, 2 Bi 3.52, 4 K 3.57-3.60
K3 0.2500 0.7518 0.8750  2 Cd 3.51, 2 Bi 3.52, 4 K 3.57-3.60
K4 0.2518 0.2500 0.6250  2 Cd 3.51, 2 Bi 3.52, 4 K 3.57-3.60
K5 0.7482 0.7500 0.6250  2 Cd 3.51, 2 Bi 3.52, 4 K 3.57-3.60
K6 0.7500 0.2482 0.8750  2 Cd 3.51, 2 Bi 3.52, 4 K 3.57-3.60
K7 0.7500 0.2518 0.3750  2 Cd 3.51, 2 Bi 3.52, 4 K 3.57-3.60
K8 0.7518 0.7500 0.1250  2 Cd 3.51, 2 Bi 3.52, 4 K 3.57-3.60
Cd1 0.0000 0.0000 0.0000  4 K 3.51, 4 Bi 3.58
Cd2 0.0000 0.5000 0.2500  4 K 3.51, 4 Bi 3.58
Cd3 0.5000 0.0000 0.7500  4 K 3.51, 4 Bi 3.58
Cd4 0.5000 0.5000 0.5000  4 K 3.51, 4 Bi 3.58
Bi1 0.0000 0.0000 0.5000  4 K 3.52, 4 Cd 3.58
Bi2 0.0000 0.5000 0.7500  4 K 3.52, 4 Cd 3.58
Bi3 0.5000 0.0000 0.2500  4 K 3.52, 4 Cd 3.58
Bi4 0.5000 0.5000 0.0000  4 K 3.52, 4 Cd 3.58

Computed properties:
Energy of formation from the pure elements   0.05 eV per atom
DOS at the Fermi energy   9.2 states/eV/cell
Raw total energy   -1.6999 eV/atom
Calculated volume   620.87 Å³/cell
Distance to the lowest polymorph of the same formula   0.300 eV per atom

=====

[10]
A geometry-optimized ZrTl3Ag structure. Source: Alexandria, functional PBE.

abc: 5.3201 5.3201 5.3201
angles: 90.00 90.00 90.00
Closest atoms and distances in Å follow each position.
Atoms (fractional coordinates):
Zr1 0.0000 0.0000 0.0000  12 Tl 3.76
Tl1 0.0000 0.5000 0.5000  2 Ag 2.66
Tl2 0.5000 0.0000 0.5000  2 Ag 2.66
Tl3 0.5000 0.5000 0.0000  2 Ag 2.66
Ag1 0.5000 0.5000 0.5000  6 Tl 2.66

Computed properties:
Energy of formation from the pure elements   0.76 eV per atom
DOS at the Fermi energy   3.0 states/eV/cell
Raw total energy   -2.9368 eV/atom
Calculated volume   150.58 Å³/cell
Distance to the lowest polymorph of the same formula   0.051 eV per atom